{"formula": "In3Hg2Pb2", "functional": "PBE", "state": "relaxed", "lattice": [[-2.3652, 2.9594, -4.1422], [-2.8274, -4.7691, -1.7928], [-3.0342, 0.5294, 5.9144]], "species": ["In", "In", "In", "Pb", "Pb", "Hg", "Hg"], "fractional_positions": [[0.7232, 0.3270, 0.4463], [0.0000, 0.5000, 0.0000], [0.2768, 0.6730, 0.5537], [0.4210, 0.2229, 0.8421], [0.5790, 0.7771, 0.1579], [0.8619, 0.9078, 0.7238], [0.1381, 0.0922, 0.2762]], "formation_energy_ev_per_fu": 0.16, "magnetic_moment_mub_per_atom": 0.00}